Record 1
Here is a relaxed ZrCrNi2 crystal from Alexandria. Energies are from PBE.

Lattice parameters (Å, degrees): 8.6751 8.6751 8.6751 18.53 18.53 18.53
Fractional coordinates of all 4 atoms:
Ni1 0.0007 0.0007 0.0007
Ni2 0.2576 0.2576 0.2576
Zr1 0.5024 0.5024 0.5024
Cr1 0.7394 0.7394 0.7394

Values from the calculation:
Density: 7.51 g cm⁻³
Volume: 14.4 Å³/atom
Formation enthalpy at 0 K: 347.8 meV per atom
Crystal system: trigonal
Total DFT energy (no corrections): -7.086 eV per atom

Record 2
Here is a relaxed HgGe2Rh2 crystal from Alexandria. Energies are from PBE.

Lattice parameters (Å, degrees): 7.6163 7.6163 2.8568 90.00 90.00 90.00
Fractional coordinates of all 10 atoms:
Hg1 0.5000 0.5000 0.0000
Ge1 0.8525 0.6475 0.0000
Rh1 0.3587 0.1413 0.5000
Ge2 0.3525 0.8525 0.0000
Hg2 0.0000 0.0000 0.0000
Ge3 0.6475 0.1475 0.0000
Rh2 0.1413 0.6413 0.5000
Ge4 0.1475 0.3525 0.0000
Rh3 0.6413 0.8587 0.5000
Rh4 0.8587 0.3587 0.5000

Values from the calculation:
Density: 11.06 g cm⁻³
Volume: 16.6 Å³/atom
Formation enthalpy at 0 K: -158.7 meV per atom
Crystal system: tetragonal
Total DFT energy (no corrections): -5.007 eV per atom
Polymorph energy (0 for the lowest one): 65 meV per atom

Record 3
Here is a relaxed KPuP2S8 crystal from Alexandria. Energies are from PBE.

Lattice parameters (Å, degrees): 6.1393 6.1393 10.2589 72.59 72.59 60.00
Fractional coordinates of all 12 atoms:
P1 0.7451 0.7451 0.7647
S1 0.9498 0.5891 0.1651
Pu1 0.0000 0.0000 0.0000
S2 0.7041 0.0502 0.8349
S3 0.4109 0.7041 0.8349
S4 0.2959 0.9498 0.1651
K1 0.5000 0.5000 0.5000
S5 0.5891 0.2959 0.1651
S6 0.0502 0.4109 0.8349
P2 0.2549 0.2549 0.2353
S7 0.8138 0.8138 0.5586
S8 0.1862 0.1862 0.4414

Values from the calculation:
Density: 3.18 g cm⁻³
ΔE_f (raw): -652 kJ/mol of formula units
Volume: 26.2 Å³/atom
Crystal system: trigonal
Total DFT energy (no corrections): -5.503 eV per atom

Record 4
Here is a relaxed Cu4TeCl crystal from Alexandria. Energies are from PBE.

Lattice parameters (Å, degrees): 5.1418 5.1418 5.1418 60.00 60.00 60.00
Fractional coordinates of all 6 atoms:
Te1 0.7500 0.7500 0.7500
Cl1 0.0000 0.0000 0.0000
Cu1 0.8748 0.3751 0.3751
Cu2 0.3751 0.3751 0.8748
Cu3 0.3751 0.8748 0.3751
Cu4 0.3751 0.3751 0.3751

Values from the calculation:
Density: 7.21 g cm⁻³
ΔE_f (raw): 144 kJ/mol of formula units
Volume: 16.0 Å³/atom
Crystal system: cubic
Total DFT energy (no corrections): -3.313 eV per atom

Record 5
Here is a relaxed ThZnH6Ru crystal from Alexandria. Energies are from PBE.

Lattice parameters (Å, degrees): 4.5701 4.5700 4.4416 90.00 90.00 60.00
Fractional coordinates of all 9 atoms:
Th1 0.0000 0.0000 0.9999
H1 0.4898 0.0203 0.7787
Ru1 0.3333 0.3333 0.5002
H2 0.4899 0.0205 0.2214
Zn1 0.6666 0.6666 0.4997
H3 0.4899 0.4897 0.7787
H4 0.0202 0.4900 0.7787
H5 0.0204 0.4897 0.2214
H6 0.4896 0.4899 0.2214

Values from the calculation:
Density: 8.36 g cm⁻³
Volume: 8.9 Å³/atom
Crystal system: hexagonal
Total DFT energy (no corrections): -4.476 eV per atom

Record 6
Here is a relaxed TcRh2Cl crystal from Alexandria. Energies are from PBE.

Lattice parameters (Å, degrees): 2.8345 2.8345 8.8586 90.00 90.00 121.18
Fractional coordinates of all 4 atoms:
Tc1 0.0000 0.0000 0.5073
Rh1 0.0000 0.0000 0.9969
Cl1 0.5000 0.5000 0.7401
Rh2 0.5000 0.5000 0.2557

Values from the calculation:
Density: 9.25 g cm⁻³
ΔE_f (raw): 186 kJ/mol of formula units
Volume: 15.2 Å³/atom
Crystal system: orthorhombic
Total DFT energy (no corrections): -6.248 eV per atom
Polymorph energy (0 for the lowest one): 309 meV per atom

Record 7
Here is a relaxed YScCo2Rh crystal from Alexandria. Energies are from PBE.

Lattice parameters (Å, degrees): 4.4448 5.1331 4.4448 90.00 90.00 90.00
Fractional coordinates of all 5 atoms:
Y1 0.0000 0.0000 0.0000
Co1 0.0000 0.0000 0.5000
Rh1 0.5000 0.5000 0.5000
Co2 0.5000 0.0000 0.0000
Sc1 0.0000 0.5000 0.0000

Values from the calculation:
Density: 5.81 g cm⁻³
Volume: 20.3 Å³/atom
Formation enthalpy at 0 K: 1529.9 meV per atom
Crystal system: tetragonal
Total DFT energy (no corrections): -5.342 eV per atom
Polymorph energy (0 for the lowest one): 1202 meV per atom

Record 8
Here is a relaxed Rb2LaZnF8 crystal from Alexandria. Energies are from PBE.

Lattice parameters (Å, degrees): 4.3083 6.4565 7.4755 84.50 90.61 91.49
Fractional coordinates of all 12 atoms:
F1 0.0082 0.8075 0.2284
Zn1 0.0000 0.0000 0.0000
F2 0.5054 0.7977 0.4957
F3 0.9754 0.2342 0.2278
F4 0.4946 0.2023 0.5043
F5 0.5809 0.8746 0.9421
La1 0.0000 0.0000 0.5000
F6 0.4191 0.1254 0.0579
F7 0.9918 0.1925 0.7716
Rb1 0.5070 0.4761 0.7676
F8 0.0246 0.7658 0.7722
Rb2 0.4930 0.5239 0.2324

Values from the calculation:
Density: 4.23 g cm⁻³
ΔE_f (raw): -3284 kJ/mol of formula units
Volume: 17.2 Å³/atom
Crystal system: triclinic
Total DFT energy (no corrections): -4.762 eV per atom

Magnetization values (in μB per formula unit) by entry order: 2.210; 0.000; 2.938; 0.000; 0.000; 0.915; 1.790; 1.054.